No. 1
Compound: HgNF4
Source: Alexandria via LeMat-Bulk
Functional: PBE-GGA
Structure: relaxed

It has space group P-1 (No. 2), with a = 5.033 Å, b = 6.643 Å, c = 7.710 Å, α = 75.01°, β = 80.37° and γ = 69.16°. The asymmetric unit holds Hg at (0.157, 0.228, 0.449), N at (0.354, 0.788, 0.016), F at (0.055, 0.549, 0.311), F at (0.237, 0.940, 0.125), F at (0.282, 0.894, 0.564) and F at (0.406, 0.356, 0.902).

The raw formation energy comes out at -4.15 eV/f.u. Its density of states at the Fermi level is 0.00 states/eV/f.u.

---

No. 2
Compound: SiAuSe2Br
Source: Alexandria via LeMat-Bulk
Functional: PBE-GGA
Structure: relaxed

It has space group P4/mmm (No. 123), with a = 5.123 Å, b = 5.123 Å, c = 5.117 Å, α = 90.00°, β = 90.00° and γ = 90.00°. The asymmetric unit holds Si at (0.000, 0.000, 0.000), Au at (0.500, 0.500, 0.500), Se at (0.000, 0.500, 0.500) and Br at (0.500, 0.500, 0.000).

The raw formation energy comes out at 3.46 eV/f.u. The calculation puts the distance to the lowest polymorph of the same formula at 0.234 eV/atom. Its density of states at the Fermi level is 3.37 states/eV/f.u.

---

No. 3
Compound: CaScRe2
Source: Alexandria via LeMat-Bulk
Functional: PBE-GGA
Structure: relaxed

It has space group P4/mmm (No. 123), with a = 2.768 Å, b = 2.768 Å, c = 9.607 Å, α = 90.00°, β = 90.00° and γ = 90.00°. The asymmetric unit holds Ca at (0.000, 0.000, 0.000), Sc at (0.000, 0.000, 0.500) and Re at (0.500, 0.500, 0.264).

The calculation puts the distance to the lowest polymorph of the same formula at 0.409 eV/atom. Its density of states at the Fermi level is 4.98 states/eV/f.u. The calculated formation energy is 0.5340 eV per atom.

---

Repeat the second record exactly.
Compound: SiAuSe2Br
Source: Alexandria via LeMat-Bulk
Functional: PBE-GGA
Structure: relaxed

It has space group P4/mmm (No. 123), with a = 5.123 Å, b = 5.123 Å, c = 5.117 Å, α = 90.00°, β = 90.00° and γ = 90.00°. The asymmetric unit holds Si at (0.000, 0.000, 0.000), Au at (0.500, 0.500, 0.500), Se at (0.000, 0.500, 0.500) and Br at (0.500, 0.500, 0.000).

The raw formation energy comes out at 3.46 eV/f.u. The calculation puts the distance to the lowest polymorph of the same formula at 0.234 eV/atom. Its density of states at the Fermi level is 3.37 states/eV/f.u.